[1]
CeAlCu5 | PBE | optimized geometry

```
CeAlCu5
1.0
8.1067 0.0000 0.0000
0.0000 5.0415 0.0000
0.0000 0.0000 10.2983
Ce Al Cu
4 4 20
direct
0.2424 0.2500 0.0572
0.2576 0.7500 0.5572
0.7424 0.2500 0.4428
0.7576 0.7500 0.9428
0.1460 0.7500 0.8568
0.3540 0.2500 0.3568
0.6460 0.7500 0.6432
0.8540 0.2500 0.1432
0.0671 0.0058 0.3068
0.0671 0.4942 0.3068
0.0675 0.7500 0.0938
0.0927 0.2500 0.5159
0.1786 0.2500 0.7546
0.3214 0.7500 0.2546
0.4073 0.7500 0.0159
0.4325 0.2500 0.5938
0.4329 0.5058 0.8068
0.4329 0.9942 0.8068
0.5671 0.0058 0.1932
0.5671 0.4942 0.1932
0.5675 0.7500 0.4062
0.5927 0.2500 0.9841
0.6786 0.2500 0.7454
0.8214 0.7500 0.2454
0.9073 0.7500 0.4841
0.9325 0.2500 0.9062
0.9329 0.5058 0.6932
0.9329 0.9942 0.6932
```

Calculated values
For the formation energy, the calculation gives -0.24 eV per atom. The magnetic moment is 0.02 μB/f.u. The energy comes out at -4.548 eV per atom.

[2]
CsInAg2Br6 | PBE | optimized geometry

```
CsInAg2Br6
1.0
7.4281 0.0000 0.0000
3.7138 6.4367 0.0000
3.7128 -2.1406 6.8911
Cs In Ag Br
1 1 2 6
direct
0.0000 0.0000 0.0000
0.0826 0.4587 0.3768
0.4020 0.7985 0.3974
0.4588 0.2700 0.8121
0.2619 0.2226 0.5920
0.3649 0.0522 0.1246
0.4586 0.4897 0.1247
0.6319 0.5154 0.5929
0.9245 0.8522 0.5926
0.9264 0.5839 0.1255
```

Calculated values
As for the raw formation energy: -0.787 eV/atom. The magnetic moment is 0.00 μB/f.u. The energy comes out at -2.720 eV per atom.

[3]
Ca2AlZnGa6 | PBE | optimized geometry

```
Ca2AlZnGa6
1.0
3.2672 1.8863 11.9176
-3.2672 1.8863 11.9176
0.0000 -3.7726 11.9176
Ca Al Zn Ga
4 2 2 12
direct
0.1084 0.1084 0.1084
0.2850 0.2850 0.2850
0.7150 0.7150 0.7150
0.8916 0.8916 0.8916
0.0000 0.0000 0.0000
0.5000 0.5000 0.5000
0.4278 0.4278 0.4278
0.5722 0.5722 0.5722
0.0604 0.6662 0.6662
0.2319 0.2319 0.6421
0.2319 0.6421 0.2319
0.3338 0.3338 0.9396
0.3338 0.9396 0.3338
0.3579 0.7681 0.7681
0.6421 0.2319 0.2319
0.6662 0.0604 0.6662
0.6662 0.6662 0.0604
0.7681 0.3579 0.7681
0.7681 0.7681 0.3579
0.9396 0.3338 0.3338
```

Calculated values
For the formation energy, the calculation gives -0.15 eV per atom. The magnetic moment is 0.00 μB/f.u. The energy comes out at -2.872 eV per atom.

[4]
CaS2O6 | PBE | optimized geometry

```
CaS2O6
1.0
2.8450 1.6426 6.0100
-2.8450 1.6426 6.0100
0.0000 -3.2852 6.0100
Ca S O
1 2 6
direct
0.0000 0.0000 0.0000
0.6058 0.6058 0.6058
0.7270 0.7270 0.7270
0.3014 0.6845 0.7733
0.4616 0.9339 0.8437
0.6845 0.7733 0.3014
0.7733 0.3014 0.6845
0.8437 0.4616 0.9339
0.9339 0.8437 0.4616
```

Calculated values
As for the raw formation energy: -1.744 eV/atom. The magnetic moment is 0.00 μB/f.u. The energy comes out at -6.189 eV per atom.

[5]
Hf3HRh | PBE | optimized geometry

```
Hf3HRh
1.0
4.3167 0.0000 0.0000
0.0000 4.3167 0.0000
0.0000 0.0000 4.3167
Hf H Rh
3 1 1
direct
0.0000 0.0000 0.5000
0.0000 0.5000 0.0000
0.5000 0.0000 0.0000
0.0000 0.0000 0.0000
0.5000 0.5000 0.5000
```

Calculated values
The magnetic moment is 0.00 μB/f.u. The value obtained for the distance to the lowest polymorph of the same formula is 0 meV/atom. The energy comes out at -8.386 eV per atom.

[6]
YMn2Br | PBE | optimized geometry

```
YMn2Br
1.0
4.0400 0.0000 0.0000
0.0000 4.0400 0.0000
0.0000 0.0000 10.4654
Y Mn Br
2 4 2
direct
0.0000 0.0000 0.0000
0.5000 0.5000 0.5000
0.0000 0.5000 0.2500
0.0000 0.5000 0.7500
0.5000 0.0000 0.2500
0.5000 0.0000 0.7500
0.0000 0.0000 0.5000
0.5000 0.5000 0.0000
```

Calculated values
As for the raw formation energy: 0.270 eV/atom. The magnetic moment is 7.49 μB/f.u. The value obtained for the distance to the lowest polymorph of the same formula is 363 meV/atom. The energy comes out at -6.349 eV per atom.

[7]
ZrP2CCl | PBE | optimized geometry

```
ZrP2CCl
1.0
4.0991 0.0000 0.0000
0.0000 4.0991 0.0000
0.0000 0.0000 4.4087
Zr P C Cl
1 2 1 1
direct
0.0000 0.0000 0.0000
0.0000 0.5000 0.5000
0.5000 0.0000 0.5000
0.5000 0.5000 0.5000
0.5000 0.5000 0.0000
```

Calculated values
As for the raw formation energy: 0.582 eV/atom. The magnetic moment is 0.00 μB/f.u. The value obtained for the distance to the lowest polymorph of the same formula is 0 meV/atom. The energy comes out at -5.506 eV per atom.

[8]
K2NaBr | PBE | optimized geometry

```
K2NaBr
1.0
4.5050 0.0000 0.0000
-2.2525 3.9014 0.0000
0.0000 0.0000 32.8303
K Na Br
6 3 3
direct
0.0000 0.0000 0.0000
0.0000 0.0000 0.2078
0.3333 0.6667 0.6667
0.3333 0.6667 0.8744
0.6667 0.3333 0.3333
0.6667 0.3333 0.5411
0.0000 0.0000 0.7705
0.3333 0.6667 0.4372
0.6667 0.3333 0.1038
0.0000 0.0000 0.6040
0.3333 0.6667 0.2707
0.6667 0.3333 0.9373
```

Calculated values
As for the raw formation energy: -0.794 eV/atom. The magnetic moment is 0.00 μB/f.u. The value obtained for the distance to the lowest polymorph of the same formula is 0 meV/atom. The energy comes out at -2.091 eV per atom.

[9]
MgTiIn | PBE | optimized geometry

```
MgTiIn
1.0
3.2202 0.0000 0.0000
0.0000 3.9656 0.0000
0.0000 0.0000 9.5400
Mg Ti In
2 2 2
direct
0.2500 0.2500 0.0911
0.7500 0.7500 0.9089
0.2500 0.2500 0.4276
0.7500 0.7500 0.5724
0.2500 0.2500 0.7371
0.7500 0.7500 0.2629
```

Calculated values
For the formation energy, the calculation gives -0.07 eV per atom. The magnetic moment is 0.00 μB/f.u. The energy comes out at -4.147 eV per atom.

[10]
Ac6Os2Pt | PBE | optimized geometry

```
Ac6Os2Pt
1.0
9.1924 -2.2212 0.0000
9.1924 2.2212 0.0000
-1.1465 0.0000 8.2957
Ac Os Pt
6 2 1
direct
0.0084 0.0084 0.2497
0.3300 0.3300 0.4315
0.3327 0.3327 0.9038
0.6673 0.6673 0.0962
0.6700 0.6700 0.5685
0.9916 0.9916 0.7503
0.1661 0.1661 0.3263
0.8339 0.8339 0.6737
0.5000 0.5000 0.0000
```

Calculated values
For the formation energy, the calculation gives -0.30 eV per atom. The magnetic moment is 0.00 μB/f.u. The energy comes out at -6.204 eV per atom.

[11]
Rb3ZrO3 | PBE | optimized geometry

```
Rb3ZrO3
1.0
6.7596 3.9027 1.0353
-6.7596 3.9027 1.0353
0.0000 -7.8053 1.0353
Rb Zr O
3 1 3
direct
0.1696 0.1696 0.6609
0.1696 0.6609 0.1696
0.6609 0.1696 0.1696
0.3614 0.3614 0.3614
0.7799 0.7799 0.9787
0.7799 0.9787 0.7799
0.9787 0.7799 0.7799
```

Calculated values
As for the raw formation energy: -1.727 eV/atom. The magnetic moment is 0.00 μB/f.u. The energy comes out at -5.488 eV per atom.

[12]
NbClO2 | PBE | optimized geometry

```
NbClO2
1.0
3.0677 0.0000 0.0000
-1.5338 2.6567 0.0000
0.0000 0.0000 24.5463
Nb Cl O
3 3 6
direct
0.0000 0.0000 0.0000
0.3333 0.6667 0.6667
0.6667 0.3333 0.3333
0.0000 0.0000 0.5000
0.3333 0.6667 0.1667
0.6667 0.3333 0.8333
0.0000 0.0000 0.3773
0.0000 0.0000 0.6227
0.3333 0.6667 0.0440
0.3333 0.6667 0.2893
0.6667 0.3333 0.7107
0.6667 0.3333 0.9560
```

Calculated values
As for the raw formation energy: -1.440 eV/atom. The magnetic moment is 0.52 μB/f.u. The energy comes out at -6.899 eV per atom.

[13]
CaSn2BPt | PBE | optimized geometry

```
CaSn2BPt
1.0
5.7648 0.0000 0.0000
0.0000 5.7648 0.0000
0.0000 0.0000 4.9709
Ca Sn B Pt
1 2 1 1
direct
0.0000 0.0000 0.0000
0.0000 0.5000 0.0000
0.5000 0.0000 0.0000
0.5000 0.5000 0.5000
0.0000 0.0000 0.5000
```

Calculated values
For the formation energy, the calculation gives 1.68 eV per atom. The magnetic moment is 0.00 μB/f.u. The energy comes out at -2.868 eV per atom.

[14]
TmZn2Cu9 | PBE | optimized geometry

```
TmZn2Cu9
1.0
-5.0321 5.0321 3.2838
5.0321 -5.0321 3.2838
5.0321 5.0321 -3.2838
Tm Zn Cu
2 4 18
direct
0.3750 0.6250 0.7500
0.6250 0.3750 0.2500
0.0000 0.0000 0.0000
0.0000 0.0000 0.5000
0.0000 0.5000 0.0000
0.5000 0.0000 0.5000
0.1250 0.8750 0.2500
0.1348 0.5558 0.3352
0.1348 0.7997 0.5790
0.2003 0.2794 0.3352
0.2003 0.8652 0.9210
0.2794 0.2003 0.8352
0.2794 0.4442 0.0790
0.4442 0.2794 0.5790
0.4442 0.8652 0.1648
0.5558 0.1348 0.8352
0.5558 0.7206 0.4210
0.7206 0.5558 0.9210
0.7206 0.7997 0.1648
0.7997 0.1348 0.0790
0.7997 0.7206 0.6648
0.8652 0.2003 0.4210
0.8652 0.4442 0.6648
0.8750 0.1250 0.7500
```

Calculated values
For the formation energy, the calculation gives -0.11 eV per atom. The magnetic moment is 0.00 μB/f.u. The value obtained for the distance to the lowest polymorph of the same formula is 0 meV/atom. The energy comes out at -3.766 eV per atom.

[15]
LiTm4Pd5 | PBE | optimized geometry

```
LiTm4Pd5
1.0
3.4194 0.0000 0.0000
0.0000 3.4194 0.0000
0.0000 0.0000 16.5953
Li Tm Pd
1 4 5
direct
0.0000 0.0000 0.0000
0.0000 0.0000 0.1810
0.0000 0.0000 0.3939
0.0000 0.0000 0.6061
0.0000 0.0000 0.8190
0.5000 0.5000 0.0854
0.5000 0.5000 0.2876
0.5000 0.5000 0.5000
0.5000 0.5000 0.7124
0.5000 0.5000 0.9146
```

Calculated values
For the formation energy, the calculation gives -0.87 eV per atom. The magnetic moment is 0.00 μB/f.u. The energy comes out at -5.442 eV per atom.

[16]
LiPW2 | PBE | optimized geometry

```
LiPW2
1.0
3.1739 0.0000 0.0000
0.0000 3.1739 0.0000
0.0000 0.0000 5.4966
Li P W
1 1 2
direct
0.0000 0.0000 0.0000
0.0000 0.0000 0.5000
0.5000 0.5000 0.2684
0.5000 0.5000 0.7316
```

Calculated values
For the formation energy, the calculation gives 0.34 eV per atom. The magnetic moment is 0.00 μB/f.u. The energy comes out at -7.963 eV per atom.

[17]
CaTb3Dy6Er2 | PBE | optimized geometry

```
CaTb3Dy6Er2
1.0
3.0870 -5.3456 0.0000
3.0870 5.3456 0.0000
-2.0538 0.0000 11.6056
Ca Tb Dy Er
1 3 6 2
direct
0.0000 0.0000 0.0000
0.1657 0.8343 0.5000
0.5000 0.5000 0.5000
0.8343 0.1657 0.5000
0.0843 0.4240 0.2519
0.2552 0.2552 0.7478
0.4240 0.0843 0.2519
0.5760 0.9157 0.7481
0.7448 0.7448 0.2522
0.9157 0.5760 0.7481
0.3333 0.6667 0.0000
0.6667 0.3333 0.0000
```

Calculated values
For the formation energy, the calculation gives 0.05 eV per atom. The magnetic moment is 0.00 μB/f.u. The energy comes out at -4.333 eV per atom.

[18]
NaTbEuPb | PBE | optimized geometry

```
NaTbEuPb
1.0
7.8592 0.0000 0.0000
0.0000 7.8592 0.0000
0.0000 0.0000 7.8592
Na Tb Eu Pb
4 4 4 4
direct
0.0000 0.0000 0.0000
0.0000 0.5000 0.5000
0.5000 0.0000 0.5000
0.5000 0.5000 0.0000
0.2500 0.2500 0.2500
0.2500 0.7500 0.7500
0.7500 0.2500 0.7500
0.7500 0.7500 0.2500
0.2500 0.2500 0.7500
0.2500 0.7500 0.2500
0.7500 0.2500 0.2500
0.7500 0.7500 0.7500
0.0000 0.0000 0.5000
0.0000 0.5000 0.0000
0.5000 0.0000 0.0000
0.5000 0.5000 0.5000
```

Calculated values
For the formation energy, the calculation gives -0.21 eV per atom. The magnetic moment is 7.65 μB/f.u. The energy comes out at -5.194 eV per atom.

[19]
LaTlRe2 | PBE | optimized geometry

```
LaTlRe2
1.0
5.0320 0.0000 0.0000
0.0000 3.1758 0.0000
-1.8181 0.0000 5.0495
La Tl Re
1 1 2
direct
0.0000 0.0000 0.0000
0.0000 0.5000 0.5000
0.5000 0.0000 0.5000
0.5000 0.5000 0.0000
```

Calculated values
For the formation energy, the calculation gives 0.93 eV per atom. The magnetic moment is 0.00 μB/f.u. The value obtained for the distance to the lowest polymorph of the same formula is 743 meV/atom. The energy comes out at -7.114 eV per atom.

[20]
Sb2RhAu | PBE | optimized geometry

```
Sb2RhAu
1.0
3.2535 0.0000 0.0000
0.0000 3.2535 0.0000
0.0000 0.0000 7.7461
Sb Rh Au
2 1 1
direct
0.0000 0.0000 0.2201
0.0000 0.0000 0.7799
0.5000 0.5000 0.0000
0.5000 0.5000 0.5000
```

Calculated values
As for the raw formation energy: -0.060 eV/atom. The magnetic moment is 0.00 μB/f.u. The energy comes out at -4.779 eV per atom.